1.
Compound: AlCr2Mo
Source: Alexandria via LeMat-Bulk
Functional: GGA-PBEsol
Structure: optimized geometry

a b c (Å): 2.958 4.199 8.314
angles (deg): 90.00 90.00 90.00
Fractional coordinates of all 8 atoms:
1 Al 0.000 0.000 0.000
2 Al 0.500 0.500 0.500
3 Cr 0.000 0.000 0.484
4 Cr 0.000 0.500 0.759
5 Cr 0.500 0.000 0.259
6 Cr 0.500 0.500 0.984
7 Mo 0.000 0.500 0.230
8 Mo 0.500 0.000 0.730

Calculated total energy: -9.124 eV per atom
Formation enthalpy at 0 K: -0.038 eV/atom
N(E_F): 3.71 states/eV/f.u.



2.
Compound: H3RhF
Source: Alexandria via LeMat-Bulk
Functional: GGA-PBEsol
Structure: optimized geometry

a b c (Å): 3.207 3.207 3.207
angles (deg): 90.00 90.00 90.00
Fractional coordinates of all 5 atoms:
1 H 0.000 0.000 0.500
2 H 0.000 0.500 0.000
3 H 0.500 0.000 0.000
4 Rh 0.500 0.500 0.500
5 F 0.000 0.000 0.000

Calculated total energy: -3.332 eV per atom
N(E_F): 1.41 states/eV/f.u.



3.
Compound: YSc2Rh
Source: Alexandria via LeMat-Bulk
Functional: GGA-PBEsol
Structure: optimized geometry

a b c (Å): 3.391 4.974 10.170
angles (deg): 90.00 90.00 90.00
Fractional coordinates of all 8 atoms:
1 Y 0.000 0.000 0.000
2 Y 0.500 0.500 0.500
3 Sc 0.000 0.500 0.204
4 Sc 0.000 0.500 0.796
5 Sc 0.500 0.000 0.296
6 Sc 0.500 0.000 0.704
7 Rh 0.000 0.000 0.500
8 Rh 0.500 0.500 0.000

Polymorph energy (0 for the lowest one): 0.0 kJ/mol of atoms
Calculated total energy: -7.512 eV per atom
Formation enthalpy at 0 K: -0.469 eV/atom
N(E_F): 4.33 states/eV/f.u.



Question: Among the records above, which one has the highest N(E_F)?
Answer: YSc2Rh



Question: Which of these has the highest calculated total energy?
Answer: H3RhF



Question: The lowest N(E_F) belongs to which entry?
Answer: H3RhF



Question: What is the calculated total energy in the first record?
Answer: -9.124 eV per atom